A relaxed Tb12Nd2Sm5 crystal, computed with PBE.

a = 6.842 Å, b = 6.852 Å, c = 15.101 Å
α = 87.50°, β = 79.97°, γ = 64.76°
Element x y z (fractional)
Tb (0.066, 0.234, 0.325)
Tb (0.110, 0.068, 0.920)
Tb (0.121, 0.719, 0.255)
Tb (0.384, 0.983, 0.114)
Tb (0.415, 0.752, 0.745)
Tb (0.416, 0.259, 0.686)
Tb (0.584, 0.741, 0.314)
Tb (0.585, 0.248, 0.255)
Tb (0.616, 0.017, 0.886)
Tb (0.879, 0.281, 0.745)
Tb (0.890, 0.932, 0.080)
Tb (0.934, 0.766, 0.675)
Nd (0.237, 0.008, 0.533)
Nd (0.763, 0.992, 0.467)
Sm (0.075, 0.556, 0.886)
Sm (0.266, 0.502, 0.464)
Sm (0.500, 0.500, 0.000)
Sm (0.734, 0.498, 0.536)
Sm (0.925, 0.444, 0.114)

## Properties
* total magnetic moment: 0.000 Bohr magnetons per cell
* excess energy over the best structure of this formula in the dataset: 0.0 meV per atom
* E_tot: -0.1681 hartree per atom
* space-group type: P-1, No. 2
* formation enthalpy at 0 K: 0.09 eV per atom